(1)
DFT (PBE) results for a relaxed structure of YP2PdS.

## Properties
Raw formation energy = 0.68 eV per atom
Calculated volume = 141 Å³ per cell
E_tot = -4.6404 eV/atom
Distance to the lowest polymorph of the same formula = 0.843 eV/atom

a b c (Å): 5.2655 5.2655 5.0910
angles (deg): 90.00 90.00 90.00
Space group P4/mmm (No. 123)
One atom of each set of equivalent atoms:
Y 0.0000 0.0000 0.0000
P 0.0000 0.5000 0.0000
Pd 0.5000 0.5000 0.5000
S 0.0000 0.0000 0.5000

***

(2)
DFT (PBE) results for a relaxed structure of YP2PdS.

## Properties
Raw formation energy = -0.16 eV per atom
Calculated volume = 104 Å³ per cell
E_tot = -5.4832 eV/atom
Distance to the lowest polymorph of the same formula = 0.000 eV/atom

a b c (Å): 4.6182 4.6182 4.8719
angles (deg): 90.00 90.00 90.00
Space group P4/mmm (No. 123)
One atom of each set of equivalent atoms:
Y 0.0000 0.0000 0.0000
P 0.0000 0.5000 0.5000
Pd 0.5000 0.5000 0.5000
S 0.5000 0.5000 0.0000